(1)
Ca4CdO5 after structural relaxation, computed with PBE.

Lattice parameters (Å, degrees): 4.8267 5.9061 5.9061 80.39 65.88 65.88
With the nearest neighbours (Å) after each atom.
Sites, in units of the cell vectors:
Cd 0.0010 0.0000 0.0000  6 O 2.41-2.44
Ca 0.3991 0.4010 0.8029  6 O 2.39-2.42
Ca 0.2020 0.1971 0.4010  6 O 2.39-2.42
Ca 0.6030 0.5990 0.1971  6 O 2.39-2.42
Ca 0.8001 0.8029 0.5990  6 O 2.39-2.42
O 0.6976 0.2020 0.4050  5 Ca 2.39-2.42, 1 Cd 2.44
O 0.1025 0.5950 0.2020  5 Ca 2.39-2.42, 1 Cd 2.44
O 0.5010 0.0000 0.0000  4 Ca 2.41, 2 Cd 2.41
O 0.8996 0.4050 0.7980  5 Ca 2.39-2.42, 1 Cd 2.44
O 0.3045 0.7980 0.5950  5 Ca 2.39-2.42, 1 Cd 2.44

The calculation puts the formation energy without anion corrections at -2585 meV/atom.

(2)
CaCd3O4 after structural relaxation, computed with PBE.

Lattice parameters (Å, degrees): 3.3999 3.3999 9.5396 90.00 90.00 90.00
With the nearest neighbours (Å) after each atom.
Sites, in units of the cell vectors:
O 0.5000 0.5000 0.5000  6 Cd 2.36-2.40
O 0.5000 0.5000 0.0000  4 Ca 2.40, 2 Cd 2.41
O 0.0000 0.0000 0.2511  5 Cd 2.37-2.40, 1 Ca 2.39
O 0.0000 0.0000 0.7489  5 Cd 2.37-2.40, 1 Ca 2.39
Cd 0.0000 0.0000 0.5000  6 O 2.37-2.40
Cd 0.5000 0.5000 0.7477  6 O 2.36-2.41
Cd 0.5000 0.5000 0.2523  6 O 2.36-2.41
Ca 0.0000 0.0000 0.0000  6 O 2.39-2.40

Its distance to the lowest polymorph of the same formula is 4 meV/atom. The calculation puts the formation energy without anion corrections at -1514 meV/atom.

(3)
CaCd2O after structural relaxation, computed with PBE.

Lattice parameters (Å, degrees): 8.5370 8.5370 6.4836 48.83 48.83 90.00
With the nearest neighbours (Å) after each atom.
Sites, in units of the cell vectors:
Ca 0.7500 0.2500 0.5000  2 O 2.37
Ca 0.0000 0.0000 0.0000  2 O 2.37
Cd 0.3750 0.4600 0.7500  2 O 2.62, 2 Cd 2.78
Cd 0.2100 0.6250 0.2500  2 O 2.62, 2 Cd 2.78
Cd 0.5400 0.1250 0.2500  2 O 2.62, 2 Cd 2.78
Cd 0.8750 0.7900 0.7500  2 O 2.62, 2 Cd 2.78
O 0.2500 0.7500 0.5000  2 Ca 2.37, 4 Cd 2.62
O 0.5000 0.5000 0.0000  2 Ca 2.37, 4 Cd 2.62

The calculation puts the formation energy without anion corrections at -814 meV/atom.

(4)
CaCd3O4 after structural relaxation, computed with PBE.

Lattice parameters (Å, degrees): 5.8541 5.8541 3.4098 90.00 90.00 109.60
With the nearest neighbours (Å) after each atom.
Sites, in units of the cell vectors:
Ca 0.5000 0.5000 0.0000  6 O 2.39-2.40
Cd 0.0000 0.5000 0.5000  6 O 2.39-2.40
Cd 0.5000 0.0000 0.5000  6 O 2.39-2.40
Cd 0.0000 0.0000 0.0000  6 O 2.39-2.41
O 0.2528 0.2528 0.5000  2 Ca 2.39, 4 Cd 2.39-2.41
O 0.7504 0.2496 0.0000  5 Cd 2.39-2.40, 1 Ca 2.40
O 0.2496 0.7504 0.0000  5 Cd 2.39-2.40, 1 Ca 2.40
O 0.7472 0.7472 0.5000  2 Ca 2.39, 4 Cd 2.39-2.41

Its distance to the lowest polymorph of the same formula is 1 meV/atom. The calculation puts the formation energy without anion corrections at -1517 meV/atom.

(5)
Ca3Cd5O12 after structural relaxation, computed with PBE.

Lattice parameters (Å, degrees): 11.6246 11.6246 11.6246 109.47 109.47 109.47
With the nearest neighbours (Å) after each atom.
Sites, in units of the cell vectors:
Ca 0.6250 0.3750 0.7500  8 O 2.48-2.50
Ca 0.7500 0.3750 0.1250  8 O 2.48-2.50
Ca 0.1250 0.8750 0.7500  8 O 2.48-2.50
Ca 0.3750 0.6250 0.2500  8 O 2.48-2.50
Ca 0.2500 0.1250 0.3750  8 O 2.48-2.50
Ca 0.8750 0.7500 0.1250  8 O 2.48-2.50
Ca 0.7500 0.8750 0.6250  8 O 2.48-2.50
Ca 0.2500 0.6250 0.8750  8 O 2.48-2.50
Ca 0.6250 0.2500 0.3750  8 O 2.48-2.50
Ca 0.8750 0.1250 0.2500  8 O 2.48-2.50
Ca 0.1250 0.2500 0.8750  8 O 2.48-2.50
Ca 0.3750 0.7500 0.6250  8 O 2.48-2.50
O 0.6698 0.4506 0.5863  2 Cd 2.14-2.25
O 0.3643 0.4137 0.0835  2 Cd 2.14-2.25
O 0.4137 0.3643 0.5835  2 Cd 2.14-2.25
O 0.9506 0.3643 0.2809  2 Cd 2.14-2.25
O 0.0494 0.6357 0.7191  2 Cd 2.14-2.25
O 0.1698 0.0835 0.7191  2 Cd 2.14-2.25
O 0.5494 0.3302 0.9137  2 Cd 2.14-2.25
O 0.9137 0.0835 0.8643  2 Cd 2.14-2.25
O 0.8302 0.9137 0.0494  2 Cd 2.14-2.25
O 0.9506 0.5863 0.1698  2 Cd 2.14-2.25
O 0.0835 0.9137 0.3643  2 Cd 2.14-2.25
O 0.8643 0.2809 0.4506  2 Cd 2.14-2.25
O 0.0863 0.9165 0.1357  2 Cd 2.14-2.25
O 0.8643 0.5835 0.9137  2 Cd 2.14-2.25
O 0.3302 0.7809 0.4165  2 Cd 2.14-2.25
O 0.2191 0.5494 0.6357  2 Cd 2.14-2.25
O 0.4137 0.0494 0.3302  2 Cd 2.14-2.25
O 0.5863 0.9506 0.6698  2 Cd 2.14-2.25
O 0.1357 0.4165 0.0863  2 Cd 2.14-2.25
O 0.7191 0.5835 0.1698  2 Cd 2.14-2.25
O 0.2809 0.8643 0.9506  2 Cd 2.14-2.25
O 0.7809 0.4506 0.3643  2 Cd 2.14-2.25
O 0.9165 0.0863 0.6357  2 Cd 2.14-2.25
O 0.1357 0.7191 0.5494  2 Cd 2.14-2.25
O 0.7191 0.1357 0.0494  2 Cd 2.14-2.25
O 0.2809 0.4165 0.8302  2 Cd 2.14-2.25
O 0.4506 0.6698 0.0863  2 Cd 2.14-2.25
O 0.9137 0.8302 0.5494  2 Cd 2.14-2.25
O 0.9165 0.8302 0.7809  2 Cd 2.14-2.25
O 0.5835 0.8643 0.4137  2 Cd 2.14-2.25
O 0.4506 0.7809 0.8643  2 Cd 2.14-2.25
O 0.0494 0.4137 0.8302  2 Cd 2.14-2.25
O 0.3643 0.9506 0.7809  2 Cd 2.14-2.25
O 0.4165 0.2809 0.3302  2 Cd 2.14-2.25
O 0.6357 0.0494 0.2191  2 Cd 2.14-2.25
O 0.5835 0.7191 0.6698  2 Cd 2.14-2.25
O 0.3302 0.5494 0.4137  2 Cd 2.14-2.25
O 0.6357 0.5863 0.9165  2 Cd 2.14-2.25
O 0.1698 0.0863 0.9506  2 Cd 2.14-2.25
O 0.8302 0.9165 0.2809  2 Cd 2.14-2.25
O 0.5863 0.6357 0.4165  2 Cd 2.14-2.25
O 0.2191 0.6698 0.0835  2 Cd 2.14-2.25
O 0.0863 0.1698 0.4506  2 Cd 2.14-2.25
O 0.7809 0.3302 0.9165  2 Cd 2.14-2.25
O 0.6698 0.2191 0.5835  2 Cd 2.14-2.25
O 0.5494 0.2191 0.1357  2 Cd 2.14-2.25
O 0.0835 0.1698 0.2191  2 Cd 2.14-2.25
O 0.4165 0.1357 0.5863  2 Cd 2.14-2.25
Cd 0.6250 0.8750 0.2500  4 O 2.14
Cd 0.7500 0.1250 0.8750  4 O 2.14
Cd 0.0000 0.5000 0.5000  6 O 2.25
Cd 0.5000 0.5000 0.0000  6 O 2.25
Cd 0.1250 0.3750 0.2500  4 O 2.14
Cd 0.0000 0.5000 0.0000  6 O 2.25
Cd 0.7500 0.6250 0.3750  4 O 2.14
Cd 0.8750 0.6250 0.7500  4 O 2.14
Cd 0.3750 0.2500 0.1250  4 O 2.14
Cd 0.0000 0.0000 0.0000  6 O 2.25
Cd 0.0000 0.0000 0.5000  6 O 2.25
Cd 0.5000 0.0000 0.0000  6 O 2.25
Cd 0.5000 0.5000 0.5000  6 O 2.25
Cd 0.5000 0.0000 0.5000  6 O 2.25
Cd 0.2500 0.3750 0.6250  4 O 2.14
Cd 0.2500 0.8750 0.1250  4 O 2.14
Cd 0.3750 0.1250 0.7500  4 O 2.14
Cd 0.6250 0.7500 0.8750  4 O 2.14
Cd 0.1250 0.7500 0.3750  4 O 2.14
Cd 0.8750 0.2500 0.6250  4 O 2.14

The calculation puts the formation energy without anion corrections at -1022 meV/atom.

(6)
Ca12Cd3O5 after structural relaxation, computed with PBE.

Lattice parameters (Å, degrees): 13.8242 13.8242 13.8242 109.47 109.47 109.47
With the nearest neighbours (Å) after each atom.
Sites, in units of the cell vectors:
Ca 0.9166 0.8131 0.8051  1 O 2.25
Ca 0.0834 0.1869 0.1949  1 O 2.25
Ca 0.4920 0.8051 0.8885  1 O 2.25
Ca 0.1036 0.1869 0.4920  1 O 2.25
Ca 0.1115 0.4166 0.1036  1 O 2.25
Ca 0.4166 0.3051 0.3131  1 O 2.25
Ca 0.3051 0.4166 0.8131  1 O 2.25
Ca 0.9920 0.6036 0.1869  1 O 2.25
Ca 0.1869 0.1036 0.9920  1 O 2.25
Ca 0.1949 0.5080 0.6115  1 O 2.25
Ca 0.6869 0.1949 0.5834  1 O 2.25
Ca 0.9920 0.3885 0.3051  1 O 2.25
Ca 0.3131 0.5080 0.3964  1 O 2.25
Ca 0.6869 0.4920 0.6036  1 O 2.25
Ca 0.6036 0.9920 0.6869  1 O 2.25
Ca 0.8964 0.0834 0.8885  1 O 2.25
Ca 0.3885 0.9920 0.8051  1 O 2.25
Ca 0.6949 0.1115 0.0080  1 O 2.25
Ca 0.1036 0.9166 0.1115  1 O 2.25
Ca 0.0834 0.8964 0.3885  1 O 2.25
Ca 0.3885 0.3964 0.0834  1 O 2.25
Ca 0.8131 0.9166 0.3051  1 O 2.25
Ca 0.0080 0.3964 0.8131  1 O 2.25
Ca 0.6115 0.6036 0.9166  1 O 2.25
Ca 0.4920 0.6869 0.1036  1 O 2.25
Ca 0.8885 0.3051 0.4920  1 O 2.25
Ca 0.1115 0.6949 0.5080  1 O 2.25
Ca 0.8885 0.5834 0.8964  1 O 2.25
Ca 0.4166 0.1115 0.6036  1 O 2.25
Ca 0.3964 0.3885 0.5834  1 O 2.25
Ca 0.5834 0.8885 0.3964  1 O 2.25
Ca 0.3131 0.8051 0.4166  1 O 2.25
Ca 0.8964 0.8131 0.5080  1 O 2.25
Ca 0.6115 0.0080 0.1949  1 O 2.25
Ca 0.3964 0.0080 0.3131  1 O 2.25
Ca 0.3051 0.8885 0.9920  1 O 2.25
Ca 0.1869 0.0834 0.6949  1 O 2.25
Ca 0.9166 0.1036 0.6115  1 O 2.25
Ca 0.8051 0.3131 0.9166  1 O 2.25
Ca 0.6036 0.6115 0.4166  1 O 2.25
Ca 0.8051 0.4920 0.3885  1 O 2.25
Ca 0.6949 0.5834 0.1869  1 O 2.25
Ca 0.5080 0.3131 0.8964  1 O 2.25
Ca 0.0080 0.6115 0.6949  1 O 2.25
Ca 0.8131 0.8964 0.0080  1 O 2.25
Ca 0.1949 0.6869 0.0834  1 O 2.25
Ca 0.5834 0.6949 0.6869  1 O 2.25
Ca 0.5080 0.1949 0.1115  1 O 2.25
O 0.7500 0.1250 0.8750  4 Ca 2.25
O 0.5000 0.5000 0.5000  6 Ca 2.56
O 0.8750 0.6250 0.7500  4 Ca 2.25
O 0.5000 0.0000 0.0000  6 Ca 2.56
O 0.6250 0.7500 0.8750  4 Ca 2.25
O 0.2500 0.8750 0.1250  4 Ca 2.25
O 0.0000 0.0000 0.0000  6 Ca 2.56
O 0.7500 0.6250 0.3750  4 Ca 2.25
O 0.1250 0.7500 0.3750  4 Ca 2.25
O 0.0000 0.0000 0.5000  6 Ca 2.56
O 0.6250 0.8750 0.2500  4 Ca 2.25
O 0.3750 0.2500 0.1250  4 Ca 2.25
O 0.8750 0.2500 0.6250  4 Ca 2.25
O 0.3750 0.1250 0.7500  4 Ca 2.25
O 0.5000 0.0000 0.5000  6 Ca 2.56
O 0.5000 0.5000 0.0000  6 Ca 2.56
O 0.2500 0.3750 0.6250  4 Ca 2.25
O 0.0000 0.5000 0.5000  6 Ca 2.56
O 0.1250 0.3750 0.2500  4 Ca 2.25
O 0.0000 0.5000 0.0000  6 Ca 2.56
Cd 0.8750 0.1250 0.2500  8 Ca 3.14-3.34
Cd 0.6250 0.2500 0.3750  8 Ca 3.14-3.34
Cd 0.2500 0.1250 0.3750  8 Ca 3.14-3.34
Cd 0.1250 0.2500 0.8750  8 Ca 3.14-3.34
Cd 0.3750 0.6250 0.2500  8 Ca 3.14-3.34
Cd 0.7500 0.8750 0.6250  8 Ca 3.14-3.34
Cd 0.6250 0.3750 0.7500  8 Ca 3.14-3.34
Cd 0.7500 0.3750 0.1250  8 Ca 3.14-3.34
Cd 0.3750 0.7500 0.6250  8 Ca 3.14-3.34
Cd 0.2500 0.6250 0.8750  8 Ca 3.14-3.34
Cd 0.1250 0.8750 0.7500  8 Ca 3.14-3.34
Cd 0.8750 0.7500 0.1250  8 Ca 3.14-3.34

The calculation puts the formation energy without anion corrections at -1412 meV/atom.

(7)
Ca4Cd2O after structural relaxation, computed with PBE.

Lattice parameters (Å, degrees): 4.6875 4.6875 9.3036 104.59 104.59 90.00
With the nearest neighbours (Å) after each atom.
Sites, in units of the cell vectors:
Ca 0.1734 0.1734 0.3467  1 O 3.01, 5 Cd 3.27-3.37
Ca 0.0000 0.5000 0.0000  2 O 2.34
Ca 0.5000 0.0000 0.0000  2 O 2.34
Ca 0.8266 0.8266 0.6533  1 O 3.01, 5 Cd 3.27-3.37
Cd 0.3613 0.3613 0.7226  9 Ca 3.27-3.37
Cd 0.6387 0.6387 0.2774  9 Ca 3.27-3.37
O 0.0000 0.0000 0.0000  4 Ca 2.34

The calculation puts the formation energy without anion corrections at -926 meV/atom.

(8)
CaCd3O4 after structural relaxation, computed with PBE.

Lattice parameters (Å, degrees): 4.7951 4.7951 4.7951 90.00 90.00 90.00
With the nearest neighbours (Å) after each atom.
Sites, in units of the cell vectors:
O 0.5000 0.5000 0.5000  6 Cd 2.40
O 0.5000 0.0000 0.0000  4 Cd 2.40, 2 Ca 2.40
O 0.0000 0.0000 0.5000  4 Cd 2.40, 2 Ca 2.40
O 0.0000 0.5000 0.0000  4 Cd 2.40, 2 Ca 2.40
Cd 0.5000 0.5000 0.0000  6 O 2.40
Cd 0.0000 0.5000 0.5000  6 O 2.40
Cd 0.5000 0.0000 0.5000  6 O 2.40
Ca 0.0000 0.0000 0.0000  6 O 2.40

Its distance to the lowest polymorph of the same formula is 0 meV/atom. The calculation puts the formation energy without anion corrections at -1518 meV/atom.